Entry 1:
This record from Alexandria via LeMat-Bulk describes NaHfCu2Pd after structural relaxation. The functional is PBE.

Computed properties:
uncorrected energy: -4.372 eV per atom
formation enthalpy at 0 K: 2.8 eV per formula unit

Geometry as CIF:
```
data_NaHfCu2Pd
_space_group_name_H-M_alt 'P 4/m m m'
_space_group_IT_number 123
_space_group_name_Hall '-P 4 2'
_cell_length_a 4.895
_cell_length_b 4.895
_cell_length_c 4.782
_cell_angle_alpha 90.00
_cell_angle_beta 90.00
_cell_angle_gamma 90.00
loop_
_atom_site_label
_atom_site_type_symbol
_atom_site_fract_x
_atom_site_fract_y
_atom_site_fract_z
Na1 Na 0.000 0.000 0.000
Hf1 Hf 0.500 0.500 0.000
Cu1 Cu 0.000 0.500 0.500
Pd1 Pd 0.500 0.500 0.500
```

Entry 2:
This record from Alexandria via LeMat-Bulk describes NaHfCuPt2 after structural relaxation. The functional is PBE.

Computed properties:
uncorrected energy: -4.032 eV per atom
formation enthalpy at 0 K: 7.3 eV per formula unit

Geometry as CIF:
```
data_NaHfCuPt2
_space_group_name_H-M_alt 'P 4/m m m'
_space_group_IT_number 123
_space_group_name_Hall '-P 4 2'
_cell_length_a 4.564
_cell_length_b 4.564
_cell_length_c 4.794
_cell_angle_alpha 90.00
_cell_angle_beta 90.00
_cell_angle_gamma 90.00
loop_
_atom_site_label
_atom_site_type_symbol
_atom_site_fract_x
_atom_site_fract_y
_atom_site_fract_z
Na1 Na 0.000 0.000 0.000
Hf1 Hf 0.000 0.000 0.500
Cu1 Cu 0.500 0.500 0.500
Pt1 Pt 0.000 0.500 0.000
```

Entry 3:
This record from Alexandria via LeMat-Bulk describes Na2HfCuS4 after structural relaxation. The functional is PBE.

Computed properties:
uncorrected energy: -5.093 eV per atom

Geometry as CIF:
```
data_Na2HfCuS4
_space_group_name_H-M_alt 'I -4 2 m'
_space_group_IT_number 121
_space_group_name_Hall 'I -4 2'
_cell_length_a 7.297
_cell_length_b 7.297
_cell_length_c 6.248
_cell_angle_alpha 90.00
_cell_angle_beta 90.00
_cell_angle_gamma 90.00
loop_
_atom_site_label
_atom_site_type_symbol
_atom_site_fract_x
_atom_site_fract_y
_atom_site_fract_z
Na1 Na 0.000 0.500 0.000
Hf1 Hf 0.000 0.000 0.000
Cu1 Cu 0.000 0.000 0.500
S1 S 0.174 0.174 0.257
```